Record 1
DFT (PBE-GGA) results for an optimized crystal structure of SrHF3.

Lattice parameters (Å, degrees): 3.7185 3.7185 3.7185 90.00 90.00 90.00
Closest atoms and distances in Å follow each position.
Positions (direct):
1 Sr 0.5000 0.5000 0.5000  12 F 2.63
2 H 0.0000 0.0000 0.0000  6 F 1.86
3 F 0.0000 0.5000 0.0000  2 H 1.86
4 F 0.0000 0.0000 0.5000  2 H 1.86
5 F 0.5000 0.0000 0.0000  2 H 1.86

Output
energy above the lowest structure with this stoichiometry = 0.5812 eV/atom
theoretical density = 4.703 g/cm3
volume = 51.4 Å³/cell



Record 2
DFT (PBE-GGA) results for an optimized crystal structure of YZn2Se.

Lattice parameters (Å, degrees): 4.2995 4.2995 6.1348 90.28 90.28 59.90
Closest atoms and distances in Å follow each position.
Positions (direct):
1 Se 0.6261 0.6261 0.4589  1 Zn 2.60, 3 Y 2.86
2 Y 0.2921 0.2921 0.2280  3 Se 2.86, 3 Zn 3.08
3 Zn 0.9575 0.9575 0.9311  3 Zn 2.50
4 Zn 0.6243 0.6243 0.8820  3 Zn 2.50, 1 Se 2.60

Output
theoretical density = 5.055 g/cm3
volume = 98.1 Å³/cell
E_form (uncorrected) = -0.645 eV/atom



Repeat the second record exactly.
DFT (PBE-GGA) results for an optimized crystal structure of YZn2Se.

Lattice parameters (Å, degrees): 4.2995 4.2995 6.1348 90.28 90.28 59.90
Closest atoms and distances in Å follow each position.
Positions (direct):
1 Se 0.6261 0.6261 0.4589  1 Zn 2.60, 3 Y 2.86
2 Y 0.2921 0.2921 0.2280  3 Se 2.86, 3 Zn 3.08
3 Zn 0.9575 0.9575 0.9311  3 Zn 2.50
4 Zn 0.6243 0.6243 0.8820  3 Zn 2.50, 1 Se 2.60

Output
theoretical density = 5.055 g/cm3
volume = 98.1 Å³/cell
E_form (uncorrected) = -0.645 eV/atom